# 1
BeCo2Hg: PBEsol geometry, meta-GGA SCAN.

Cell and atoms, written as POSCAR:
```
BeCo2Hg
1.0
3.570 0.000 0.000
0.000 3.570 0.000
0.000 0.000 7.645
Be Co Hg
2 4 2
direct
0.000 0.000 0.000
0.500 0.500 0.500
0.000 0.500 0.250
0.000 0.500 0.750
0.500 0.000 0.250
0.500 0.000 0.750
0.000 0.000 0.500
0.500 0.500 0.000
```

## Properties
Spin magnetization (μB/atom): 0.89
Relative energy among the computed polymorphs (eV/atom): 0.0781
Final energy (eV/atom): -26.4726

# 2
BeCo2Hg: PBEsol geometry, meta-GGA SCAN.

Cell and atoms, written as POSCAR:
```
BeCo2Hg
1.0
4.879 0.000 0.000
0.000 8.286 0.000
-0.934 0.000 2.491
Be Co Hg
2 4 2
direct
0.000 0.000 0.000
0.500 0.500 0.000
0.250 0.250 0.500
0.250 0.750 0.500
0.750 0.250 0.500
0.750 0.750 0.500
0.000 0.500 0.000
0.500 0.000 0.000
```

## Properties
Spin magnetization (μB/atom): 0.90
Relative energy among the computed polymorphs (eV/atom): 0.1405
Final energy (eV/atom): -26.4102

# 3
Be2CoHg: PBEsol geometry, meta-GGA SCAN.

Cell and atoms, written as POSCAR:
```
Be2CoHg
1.0
5.747 0.000 0.000
0.000 5.747 0.000
0.000 0.000 5.747
Be Co Hg
8 4 4
direct
0.000 0.000 0.000
0.000 0.500 0.500
0.250 0.250 0.250
0.250 0.750 0.750
0.500 0.000 0.500
0.500 0.500 0.000
0.750 0.250 0.750
0.750 0.750 0.250
0.000 0.000 0.500
0.000 0.500 0.000
0.500 0.000 0.000
0.500 0.500 0.500
0.250 0.250 0.750
0.250 0.750 0.250
0.750 0.250 0.250
0.750 0.750 0.750
```

## Properties
Spin magnetization (μB/atom): 0.40
Final energy (eV/atom): -23.2500

# 4
Be2CoHg: PBEsol geometry, meta-GGA SCAN.

Cell and atoms, written as POSCAR:
```
Be2CoHg
1.0
3.416 0.000 0.000
0.000 3.416 0.000
0.000 0.000 7.866
Be Co Hg
4 2 2
direct
0.000 0.000 0.000
0.000 0.500 0.250
0.500 0.000 0.750
0.500 0.500 0.500
0.000 0.000 0.500
0.500 0.500 0.000
0.000 0.500 0.750
0.500 0.000 0.250
```

## Properties
Spin magnetization (μB/atom): 0.25
Final energy (eV/atom): -23.3843

Question: What is the final energy in the fourth record?
Answer: -23.3843 eV/atom

Question: What is the final energy in the fourth record?
Answer: -23.3843 eV/atom